#one
HoMg2Pb2 after structural relaxation, computed with PBE.

Output
DOS at the Fermi energy, states/eV per cell: 2.4
Crystal system: tetragonal
V, A^3/atom: 27.2
Total magnetization, μB per cell: 0.00
SG: I4/mmm, No. 139

The structure in extended XYZ format:
```
5
Lattice="-2.1918 2.1918 7.0773 2.1918 -2.1918 7.0773 2.1918 2.1918 -7.0773" Properties=species:S:1:pos:R:3 pbc="T T T"
Ho 0.0000 0.0000 0.0000
Mg 2.1918 0.0000 3.5387
Mg 0.0000 2.1918 3.5387
Pb 0.0000 0.0000 5.5553
Pb 0.0000 0.0000 8.5994
```


#two
HoMg2Pb2 after structural relaxation, computed with PBE.

Output
DOS at the Fermi energy, states/eV per cell: 6.8
Crystal system: hexagonal
V, A^3/atom: 29.0
Total magnetization, μB per cell: 0.00
SG: P6_3/mmc, No. 194

The structure in extended XYZ format:
```
10
Lattice="5.1017 0.0000 0.0000 -2.5508 4.4182 0.0000 0.0000 0.0000 12.8738" Properties=species:S:1:pos:R:3 pbc="T T T"
Ho 0.0000 0.0000 3.2185
Ho 0.0000 0.0000 9.6554
Mg 0.0000 0.0000 0.0000
Mg 0.0000 0.0000 6.4369
Mg 0.0000 2.9454 3.2185
Mg 2.5508 1.4727 9.6554
Pb 0.0000 2.9454 7.9893
Pb 0.0000 2.9454 11.3214
Pb 2.5508 1.4727 1.5524
Pb 2.5508 1.4727 4.8845
```


Last place for stability: #two


#one
HoMg2Pb3 after structural relaxation, computed with PBE.

Output
DOS at the Fermi energy, states/eV per cell: 3.9
Crystal system: orthorhombic
V, A^3/atom: 27.0
Total magnetization, μB per cell: 0.00
SG: Pmc2_1, No. 26

The structure in extended XYZ format:
```
12
Lattice="4.7414 0.0000 0.0000 0.0000 9.8226 0.0000 0.0000 0.0000 6.9664" Properties=species:S:1:pos:R:3 pbc="T T T"
Ho 0.0000 0.5472 0.0000
Ho 0.0000 9.2754 3.4832
Mg 0.0000 2.9081 3.4913
Mg 0.0000 6.9145 0.0082
Mg 2.3707 4.9135 1.7241
Mg 2.3707 4.9091 5.2073
Pb 0.0000 3.9103 6.9475
Pb 0.0000 5.9123 3.4644
Pb 2.3707 1.6216 5.0814
Pb 2.3707 1.6488 1.8788
Pb 2.3707 8.1738 5.3620
Pb 2.3707 8.2010 1.5982
```


#two
HoMg2Pb3 after structural relaxation, computed with PBE.

Output
DOS at the Fermi energy, states/eV per cell: 2.3
Crystal system: orthorhombic
V, A^3/atom: 26.5
Total magnetization, μB per cell: 0.00
SG: Cmmm, No. 65

The structure in extended XYZ format:
```
6
Lattice="2.4236 -7.4285 0.0000 2.4236 7.4285 0.0000 0.0000 0.0000 4.4143" Properties=species:S:1:pos:R:3 pbc="T T T"
Ho 0.0000 0.0000 0.0000
Mg 2.4236 2.5122 0.0000
Mg 2.4236 -2.5122 0.0000
Pb 2.4236 4.9224 2.2072
Pb 2.4236 0.0000 2.2072
Pb 2.4236 -4.9224 2.2072
```


Last place for stability: #one


#one
HoMgTlPb after structural relaxation, computed with PBE.

Output
DOS at the Fermi energy, states/eV per cell: 1.6
Crystal system: orthorhombic
V, A^3/atom: 26.0
Total magnetization, μB per cell: 0.00
SG: Pmmm, No. 47

The structure in extended XYZ format:
```
4
Lattice="4.4309 0.0000 0.0000 0.0000 4.7392 0.0000 0.0000 0.0000 4.9559" Properties=species:S:1:pos:R:3 pbc="T T T"
Ho 0.0000 0.0000 0.0000
Mg 0.0000 2.3696 2.4779
Tl 2.2154 0.0000 2.4779
Pb 2.2154 2.3696 0.0000
```


#two
HoMgTlPb after structural relaxation, computed with PBE.

Output
DOS at the Fermi energy, states/eV per cell: 3.0
Crystal system: cubic
V, A^3/atom: 26.7
Total magnetization, μB per cell: 0.00
SG: F-43m, No. 216

The structure in extended XYZ format:
```
4
Lattice="0.0000 3.7659 3.7659 3.7659 0.0000 3.7659 3.7659 3.7659 0.0000" Properties=species:S:1:pos:R:3 pbc="T T T"
Ho 0.0000 0.0000 0.0000
Mg 3.7659 3.7659 3.7659
Tl 5.6488 5.6488 5.6488
Pb 1.8829 1.8829 1.8829
```


Last place for stability: #two


#one
Ho4MgPd after structural relaxation, computed with PBE.

Output
DOS at the Fermi energy, states/eV per cell: 5.9
Crystal system: tetragonal
V, A^3/atom: 30.5
Total magnetization, μB per cell: 0.00
SG: P4/mmm, No. 123

The structure in extended XYZ format:
```
6
Lattice="4.8516 0.0000 0.0000 0.0000 4.8516 0.0000 0.0000 0.0000 7.7768" Properties=species:S:1:pos:R:3 pbc="T T T"
Ho 0.0000 2.4258 1.6764
Ho 0.0000 2.4258 6.1004
Ho 2.4258 0.0000 1.6764
Ho 2.4258 0.0000 6.1004
Mg 0.0000 0.0000 3.8884
Pd 2.4258 2.4258 0.0000
```


#two
Ho4MgPd after structural relaxation, computed with PBE.

Output
DOS at the Fermi energy, states/eV per cell: 27.2
Crystal system: cubic
V, A^3/atom: 27.1
Total magnetization, μB per cell: 0.00
SG: F-43m, No. 216

The structure in extended XYZ format:
```
24
Lattice="0.0000 6.8783 6.8783 6.8783 0.0000 6.8783 6.8783 6.8783 0.0000" Properties=species:S:1:pos:R:3 pbc="T T T"
Ho 6.8783 6.8783 2.5180
Ho 6.8783 2.5180 6.8783
Ho 11.2387 6.8783 6.8783
Ho 5.4955 5.4955 5.4955
Ho 8.2611 8.2611 5.4955
Ho 8.2611 5.4955 8.2611
Ho 10.3175 10.3175 7.7134
Ho 10.3175 7.7134 10.3175
Ho 12.9216 10.3175 10.3175
Ho 5.4955 8.2611 8.2611
Ho 2.5180 6.8783 6.8783
Ho 6.8783 11.2387 6.8783
Ho 6.8783 6.8783 11.2387
Ho 7.7134 10.3175 10.3175
Ho 10.3175 12.9216 10.3175
Ho 10.3175 10.3175 12.9216
Mg 2.3353 2.3353 2.3353
Mg 4.5431 4.5431 2.3353
Mg 4.5431 2.3353 4.5431
Mg 2.3353 4.5431 4.5431
Pd 8.3445 5.4122 5.4122
Pd 5.4122 8.3445 5.4122
Pd 5.4122 5.4122 8.3445
Pd 8.3445 8.3445 8.3445
```


Last place for stability: #one


#one
HoMg2Pd2 after structural relaxation, computed with PBE.

Output
DOS at the Fermi energy, states/eV per cell: 2.2
Crystal system: monoclinic
V, A^3/atom: 19.5
Total magnetization, μB per cell: 0.00
SG: C2/m, No. 12

The structure in extended XYZ format:
```
5
Lattice="4.2296 -2.2746 0.0000 4.2296 2.2746 0.0000 -3.3073 0.0000 5.0544" Properties=species:S:1:pos:R:3 pbc="T T T"
Ho 0.0000 0.0000 0.0000
Mg -0.3860 0.0000 3.2603
Mg 5.5379 0.0000 1.7941
Pd 2.7553 0.0000 1.1301
Pd 2.3966 0.0000 3.9243
```


#two
HoMg2Pd2 after structural relaxation, computed with PBE.

Output
DOS at the Fermi energy, states/eV per cell: 2.1
Crystal system: trigonal
V, A^3/atom: 21.3
Total magnetization, μB per cell: 0.00
SG: P-3m1, No. 164

The structure in extended XYZ format:
```
5
Lattice="4.7439 0.0000 0.0000 -2.3720 4.1084 0.0000 0.0000 0.0000 5.4714" Properties=species:S:1:pos:R:3 pbc="T T T"
Ho 0.0000 0.0000 0.0000
Mg 0.0000 2.7389 1.9679
Mg 2.3720 1.3695 3.5035
Pd 0.0000 2.7389 4.6490
Pd 2.3720 1.3695 0.8225
```


Last place for stability: #one


#one
Ho3Mg2Pd3 after structural relaxation, computed with PBE.

Output
DOS at the Fermi energy, states/eV per cell: 4.2
Crystal system: orthorhombic
V, A^3/atom: 21.8
Total magnetization, μB per cell: 0.00
SG: Immm, No. 71

The structure in extended XYZ format:
```
8
Lattice="-1.7105 2.4901 10.2136 1.7105 -2.4901 10.2136 1.7105 2.4901 -10.2136" Properties=species:S:1:pos:R:3 pbc="T T T"
Ho 0.0000 0.0000 0.0000
Ho 1.7105 0.0000 7.7745
Ho 0.0000 2.4901 2.4390
Mg 0.0000 0.0000 4.7033
Mg 0.0000 0.0000 15.7238
Pd 1.7105 0.0000 2.4649
Pd 0.0000 0.0000 10.2136
Pd 0.0000 2.4901 7.7487
```


#two
Ho3Mg2Pd3 after structural relaxation, computed with PBE.

Output
DOS at the Fermi energy, states/eV per cell: 10.9
Crystal system: hexagonal
V, A^3/atom: 21.6
Total magnetization, μB per cell: 0.00
SG: P6_3/mcm, No. 193

The structure in extended XYZ format:
```
16
Lattice="8.3259 0.0000 0.0000 -4.1630 7.2105 0.0000 0.0000 0.0000 5.7543" Properties=species:S:1:pos:R:3 pbc="T T T"
Ho -1.0834 1.8765 1.4386
Ho -3.0796 5.3340 4.3157
Ho 2.1668 0.0000 1.4386
Ho 1.0834 1.8765 4.3157
Ho 6.1592 0.0000 4.3157
Ho 3.0796 5.3340 1.4386
Mg 0.0000 4.8070 0.0000
Mg 0.0000 4.8070 2.8771
Mg 4.1630 2.4035 0.0000
Mg 4.1630 2.4035 2.8771
Pd -1.6501 2.8580 4.3157
Pd -2.5129 4.3525 1.4386
Pd 3.3001 0.0000 4.3157
Pd 1.6501 2.8580 1.4386
Pd 5.0258 0.0000 1.4386
Pd 2.5129 4.3525 4.3157
```


Last place for stability: #one


#one
Ho2MgPd3 after structural relaxation, computed with PBE.

Output
DOS at the Fermi energy, states/eV per cell: 5.7
Crystal system: trigonal
V, A^3/atom: 19.8
Total magnetization, μB per cell: 0.00
SG: P-3m1, No. 164

The structure in extended XYZ format:
```
12
Lattice="4.8422 0.0000 0.0000 -2.4211 4.1935 0.0000 0.0000 0.0000 11.7244" Properties=species:S:1:pos:R:3 pbc="T T T"
Ho 0.0000 0.0000 0.0000
Ho 0.0000 0.0000 5.8622
Ho 0.0000 2.7957 2.0904
Ho 2.4211 1.3978 9.6340
Mg 0.0000 2.7957 7.8000
Mg 2.4211 1.3978 3.9244
Pd 0.0000 0.0000 2.9519
Pd 0.0000 0.0000 8.7725
Pd 0.0000 2.7957 4.9681
Pd 0.0000 2.7957 10.7253
Pd 2.4211 1.3978 0.9991
Pd 2.4211 1.3978 6.7563
```


#two
Ho2MgPd3 after structural relaxation, computed with PBE.

Output
DOS at the Fermi energy, states/eV per cell: 2.7
Crystal system: tetragonal
V, A^3/atom: 19.6
Total magnetization, μB per cell: 0.00
SG: P4/mmm, No. 123

The structure in extended XYZ format:
```
6
Lattice="3.3956 0.0000 0.0000 0.0000 3.3956 0.0000 0.0000 0.0000 10.2218" Properties=species:S:1:pos:R:3 pbc="T T T"
Ho 0.0000 0.0000 1.8181
Ho 0.0000 0.0000 8.4037
Mg 0.0000 0.0000 5.1109
Pd 1.6978 1.6978 0.0000
Pd 1.6978 1.6978 3.5823
Pd 1.6978 1.6978 6.6395
```


Last place for stability: #two


#one
Ho3MgPd4 after structural relaxation, computed with PBE.

Output
DOS at the Fermi energy, states/eV per cell: 3.5
Crystal system: orthorhombic
V, A^3/atom: 22.5
Total magnetization, μB per cell: 0.00
SG: Immm, No. 71

The structure in extended XYZ format:
```
8
Lattice="-1.8714 3.2473 7.3915 1.8714 -3.2473 7.3915 1.8714 3.2473 -7.3915" Properties=species:S:1:pos:R:3 pbc="T T T"
Ho 0.0000 0.0000 0.0000
Ho 1.8714 0.0000 4.4428
Ho 0.0000 3.2473 2.9487
Mg 0.0000 0.0000 7.3915
Pd 1.8714 1.3694 -1.8530
Pd 1.8714 1.3694 1.8530
Pd 0.0000 1.8779 5.5385
Pd 0.0000 1.8779 9.2444
```


#two
Ho3MgPd4 after structural relaxation, computed with PBE.

Output
DOS at the Fermi energy, states/eV per cell: 3.2
Crystal system: tetragonal
V, A^3/atom: 20.1
Total magnetization, μB per cell: 0.00
SG: P4/mmm, No. 123

The structure in extended XYZ format:
```
8
Lattice="4.8814 0.0000 0.0000 0.0000 4.8814 0.0000 0.0000 0.0000 6.7649" Properties=species:S:1:pos:R:3 pbc="T T T"
Ho 0.0000 0.0000 0.0000
Ho 0.0000 0.0000 3.3824
Ho 2.4407 2.4407 0.0000
Mg 2.4407 2.4407 3.3824
Pd 0.0000 2.4407 1.7174
Pd 0.0000 2.4407 5.0474
Pd 2.4407 0.0000 1.7174
Pd 2.4407 0.0000 5.0474
```


Last place for stability: #one


#one
HoMg4Pd2 after structural relaxation, computed with PBE.

Output
DOS at the Fermi energy, states/eV per cell: 3.5
Crystal system: orthorhombic
V, A^3/atom: 21.0
Total magnetization, μB per cell: 0.00
SG: Cmmm, No. 65

The structure in extended XYZ format:
```
7
Lattice="2.0717 -8.3883 0.0000 2.0717 8.3883 0.0000 0.0000 0.0000 4.2290" Properties=species:S:1:pos:R:3 pbc="T T T"
Ho 0.0000 0.0000 0.0000
Mg 2.0717 5.4215 2.1145
Mg 2.0717 2.9382 0.0000
Mg 2.0717 -2.9382 0.0000
Mg 2.0717 -5.4215 2.1145
Pd 2.0717 1.3128 2.1145
Pd 2.0717 -1.3128 2.1145
```


#two
HoMg4Pd2 after structural relaxation, computed with PBE.

Output
DOS at the Fermi energy, states/eV per cell: 7.0
Crystal system: tetragonal
V, A^3/atom: 21.0
Total magnetization, μB per cell: 0.00
SG: P4_2/mnm, No. 136

The structure in extended XYZ format:
```
14
Lattice="8.9427 0.0000 0.0000 0.0000 8.9427 0.0000 0.0000 0.0000 3.6707" Properties=species:S:1:pos:R:3 pbc="T T T"
Ho 0.0000 0.0000 0.0000
Ho 4.4714 4.4714 1.8353
Mg 0.8147 2.9178 1.8353
Mg 1.5536 5.2861 0.0000
Mg 2.9178 0.8147 1.8353
Mg 3.6567 7.3891 0.0000
Mg 5.2861 1.5536 0.0000
Mg 6.0250 8.1280 1.8353
Mg 7.3891 3.6567 0.0000
Mg 8.1280 6.0250 1.8353
Pd 1.6089 7.3339 1.8353
Pd 2.8625 2.8625 0.0000
Pd 6.0802 6.0802 0.0000
Pd 7.3339 1.6089 1.8353
```


Last place for stability: #one


#one
Pm2HoMg after structural relaxation, computed with PBE.

Output
DOS at the Fermi energy, states/eV per cell: 6.3
Crystal system: orthorhombic
V, A^3/atom: 31.5
Total magnetization, μB per cell: 0.00
SG: Amm2, No. 38

The structure in extended XYZ format:
```
4
Lattice="3.5367 0.0000 0.0000 0.0000 1.7385 10.2554 0.0000 -1.7385 10.2554" Properties=species:S:1:pos:R:3 pbc="T T T"
Pm 0.0000 0.0000 0.0000
Pm 0.0000 0.0000 4.6943
Ho 1.7684 0.0000 17.4728
Mg 1.7684 0.0000 12.5789
```


#two
Pm2HoMg after structural relaxation, computed with PBE.

Output
DOS at the Fermi energy, states/eV per cell: 4.7
Crystal system: tetragonal
V, A^3/atom: 30.9
Total magnetization, μB per cell: 0.00
SG: P4/mmm, No. 123

The structure in extended XYZ format:
```
4
Lattice="3.7006 0.0000 0.0000 0.0000 3.7006 0.0000 0.0000 0.0000 9.0200" Properties=species:S:1:pos:R:3 pbc="T T T"
Pm 0.0000 0.0000 2.0796
Pm 0.0000 0.0000 6.9404
Ho 1.8503 1.8503 4.5100
Mg 1.8503 1.8503 0.0000
```


#three
Pm2HoMg after structural relaxation, computed with PBE.

Output
DOS at the Fermi energy, states/eV per cell: 4.0
Crystal system: trigonal
V, A^3/atom: 32.7
Total magnetization, μB per cell: 0.00
SG: R-3m, No. 166

The structure in extended XYZ format:
```
4
Lattice="1.7431 1.0064 12.4256 -1.7431 1.0064 12.4256 0.0000 -2.0127 12.4256" Properties=species:S:1:pos:R:3 pbc="T T T"
Pm 0.0000 0.0000 3.3337
Pm 0.0000 0.0000 33.9430
Ho 0.0000 0.0000 18.6384
Mg 0.0000 0.0000 0.0000
```


#four
Pm2HoMg after structural relaxation, computed with PBE.

Output
DOS at the Fermi energy, states/eV per cell: 4.7
Crystal system: trigonal
V, A^3/atom: 31.3
Total magnetization, μB per cell: 0.00
SG: R3m, No. 160

The structure in extended XYZ format:
```
4
Lattice="1.7741 1.0243 11.4773 -1.7741 1.0243 11.4773 0.0000 -2.0486 11.4773" Properties=species:S:1:pos:R:3 pbc="T T T"
Pm 0.0000 0.0000 0.0000
Pm 0.0000 0.0000 5.6600
Ho 0.0000 0.0000 20.0582
Mg 0.0000 0.0000 14.3071
```


Last place for stability: #three


#one
Pm3HoMg3 after structural relaxation, computed with PBE.

Output
DOS at the Fermi energy, states/eV per cell: 18.3
Crystal system: monoclinic
V, A^3/atom: 30.3
Total magnetization, μB per cell: 1.61
SG: C2/m, No. 12

The structure in extended XYZ format:
```
14
Lattice="3.6748 -5.3837 0.0000 3.6748 5.3837 0.0000 -0.2851 0.0000 10.7178" Properties=species:S:1:pos:R:3 pbc="T T T"
Pm 3.6748 3.4988 0.0000
Pm 3.5322 2.9631 5.3589
Pm 3.3942 0.0000 1.8423
Pm 3.6702 0.0000 8.8755
Pm 3.5322 -2.9631 5.3589
Pm 3.6748 -3.4988 0.0000
Ho 1.9515 0.0000 5.4582
Ho 5.1129 0.0000 5.2597
Mg 7.2728 0.0000 2.7803
Mg -0.2084 0.0000 7.9376
Mg 1.6820 2.6064 8.0256
Mg 1.6820 -2.6064 8.0256
Mg 5.3824 2.6064 2.6922
Mg 5.3824 -2.6064 2.6922
```


#two
Pm3HoMg3 after structural relaxation, computed with PBE.

Output
DOS at the Fermi energy, states/eV per cell: 11.0
Crystal system: orthorhombic
V, A^3/atom: 30.8
Total magnetization, μB per cell: 0.00
SG: Cmmm, No. 65

The structure in extended XYZ format:
```
14
Lattice="5.3827 -5.6543 0.0000 5.3827 5.6543 0.0000 0.0000 0.0000 7.0811" Properties=species:S:1:pos:R:3 pbc="T T T"
Pm 0.0000 0.0000 1.7462
Pm 0.0000 0.0000 5.3349
Pm 2.6913 2.8271 1.7934
Pm 2.6913 2.8271 5.2877
Pm 2.6913 -2.8271 1.7934
Pm 2.6913 -2.8271 5.2877
Ho 3.3510 0.0000 0.0000
Ho 7.4143 0.0000 0.0000
Mg 5.3827 2.7514 0.0000
Mg 3.0172 0.0000 3.5406
Mg 5.3827 2.0562 3.5406
Mg 5.3827 -2.0562 3.5406
Mg 7.7482 0.0000 3.5406
Mg 5.3827 -2.7514 0.0000
```


Last place for stability: #one